## Sm2Sc2Ge3 (GGA-PBE)

Data for crystalline Sm2Sc2Ge3 at its relaxed geometry.

Calculated values
Calculated volume, Å³ per cell: 179
N(E_F), states/eV/atom: 0.699
Mass density, g/cm3: 5.64
DFT total energy, eV/f.u.: -40.657

Cell and atoms, written as POSCAR:
```
Sm2Sc2Ge3
1.0
4.449 -0.004 0.000
-2.219 5.130 -0.158
-0.005 -0.861 7.876
Sc Sm Ge
2 2 3
direct
0.644 0.288 0.943
0.356 0.712 0.057
0.871 0.742 0.652
0.129 0.258 0.348
0.810 0.619 0.266
0.000 0.000 0.000
0.190 0.381 0.734
```

---

## Pm3RuC2N6 (GGA-PBE)

Data for crystalline Pm3RuC2N6 at its relaxed geometry.

Calculated values
Calculated volume, Å³ per cell: 155
N(E_F), states/eV/atom: 0.240
Formation energy from raw total energies, eV/atom: -0.51
Mass density, g/cm3: 6.91
DFT total energy, eV/f.u.: -98.041

Cell and atoms, written as POSCAR:
```
Pm3RuC2N6
1.0
-2.308 0.883 -4.619
-2.170 -3.323 3.419
-3.377 4.907 2.626
N Pm C Ru
6 3 2 1
direct
0.364 0.182 0.728
0.818 0.182 0.728
0.182 0.364 0.272
0.818 0.636 0.728
0.182 0.818 0.272
0.636 0.818 0.272
0.000 0.000 0.000
0.333 0.667 0.672
0.667 0.333 0.328
0.333 0.667 0.274
0.667 0.333 0.726
0.000 0.000 0.500
```

---

## Cs2NbBiI6 (GGA-PBE)

Data for crystalline Cs2NbBiI6 at its relaxed geometry.

Calculated values
Calculated volume, Å³ per cell: 465
N(E_F), states/eV/atom: 0.811
Formation energy from raw total energies, eV/atom: -0.67
Mass density, g/cm3: 4.75
DFT total energy, eV/f.u.: -31.621

Cell and atoms, written as POSCAR:
```
Cs2NbBiI6
1.0
-8.675 0.555 -0.650
0.449 -2.678 -8.283
-4.623 -6.871 -2.616
I Cs Nb Bi
6 2 1 1
direct
0.737 0.737 0.000
0.739 0.739 0.522
0.261 0.261 0.478
0.737 0.263 0.000
0.263 0.737 0.000
0.263 0.263 0.000
0.750 0.250 0.500
0.250 0.750 0.500
0.500 0.500 0.000
0.000 0.000 0.000
```